# 1
A geometry-optimized RbNa2BiBr6 structure. Source: Alexandria, functional PBE-GGA.

- Uncorrected formation energy: -1.276 eV/atom
- Uncorrected energy: -3.028 eV/atom
- Volume: 36.40 A^3/atom

```
data_RbNa2BiBr6
_cell_length_a 7.7362
_cell_length_b 7.7362
_cell_length_c 21.0663
_cell_angle_alpha 90.00
_cell_angle_beta 90.00
_cell_angle_gamma 120.00
_symmetry_space_group_name_H-M 'R 3'
_symmetry_Int_Tables_number 146
_symmetry_space_group_name_Hall 'R 3'
loop_
_atom_site_label
_atom_site_fract_x
_atom_site_fract_y
_atom_site_fract_z
_atom_site_occupancy
Rb1 0.0000 0.0000 0.0000 1
Na1 0.0000 0.0000 0.2815 1
Na2 0.0000 0.0000 0.8006 1
Bi1 0.0000 0.0000 0.4760 1
Br1 0.0024 0.3427 0.2136 1
Br2 0.0217 0.6011 0.0551 1
```

# 2
A geometry-optimized VZnAsSe2 structure. Source: Alexandria, functional PBE-GGA.

- Uncorrected formation energy: 0.896 eV/atom
- E above lowest polymorph: 0.768 eV/atom
- Uncorrected energy: -3.506 eV/atom
- Volume: 22.47 A^3/atom

```
data_VZnAsSe2
_cell_length_a 4.904
_cell_length_b 4.904
_cell_length_c 4.671
_cell_angle_alpha 90.00
_cell_angle_beta 90.00
_cell_angle_gamma 90.00
_symmetry_space_group_name_H-M 'P 4/m m m'
_symmetry_Int_Tables_number 123
_symmetry_space_group_name_Hall '-P 4 2'
loop_
_atom_site_label
_atom_site_fract_x
_atom_site_fract_y
_atom_site_fract_z
_atom_site_occupancy
V1 0.000 0.000 0.000 1
Zn1 0.500 0.500 0.500 1
As1 0.500 0.500 0.000 1
Se1 0.000 0.500 0.500 1
```

# 3
A geometry-optimized ScBeTl structure. Source: Alexandria, functional PBE-GGA.

- E above lowest polymorph: 0.329 eV/atom
- DFT formation energy: 0.241 eV/atom
- Uncorrected energy: -3.900 eV/atom
- Volume: 19.39 A^3/atom

```
data_ScBeTl
_cell_length_a 4.7941
_cell_length_b 4.7941
_cell_length_c 5.8449
_cell_angle_alpha 90.00
_cell_angle_beta 90.00
_cell_angle_gamma 120.00
_symmetry_space_group_name_H-M 'P 63/m m c'
_symmetry_Int_Tables_number 194
_symmetry_space_group_name_Hall '-P 6c 2c'
loop_
_atom_site_label
_atom_site_fract_x
_atom_site_fract_y
_atom_site_fract_z
_atom_site_occupancy
Sc1 0.3333 0.6667 0.2500 1
Be1 0.0000 0.0000 0.0000 1
Tl1 0.3333 0.6667 0.7500 1
```

# 4
A geometry-optimized RbPr2RuO8 structure. Source: Alexandria, functional PBE-GGA.

- Uncorrected formation energy: -1.808 eV/atom
- Uncorrected energy: -6.763 eV/atom
- Volume: 13.71 A^3/atom

```
data_RbPr2RuO8
_cell_length_a 4.274
_cell_length_b 5.395
_cell_length_c 7.437
_cell_angle_alpha 90.01
_cell_angle_beta 106.35
_cell_angle_gamma 90.00
_symmetry_space_group_name_H-M 'P -1'
_symmetry_Int_Tables_number 2
loop_
_symmetry_equiv_pos_as_xyz
'x,y,z'
'-x,-y,-z'
loop_
_atom_site_label
_atom_site_fract_x
_atom_site_fract_y
_atom_site_fract_z
_atom_site_occupancy
Rb1 0.000 0.000 0.000 1
Pr1 0.370 0.499 0.706 1
Ru1 0.000 0.000 0.500 1
O1 0.172 0.500 0.997 1
O2 0.191 0.731 0.394 1
O3 0.193 0.263 0.391 1
O4 0.350 0.001 0.720 1
```

# 5
A geometry-optimized TlSnGeTe3 structure. Source: Alexandria, functional PBE-GGA.

- Uncorrected formation energy: -0.170 eV/atom
- Uncorrected energy: -3.572 eV/atom
- Volume: 34.20 A^3/atom

```
data_TlSnGeTe3
_cell_length_a 8.739
_cell_length_b 4.843
_cell_length_c 9.985
_cell_angle_alpha 90.00
_cell_angle_beta 103.77
_cell_angle_gamma 90.00
_symmetry_space_group_name_H-M 'P 1 21/m 1'
_symmetry_Int_Tables_number 11
loop_
_symmetry_equiv_pos_as_xyz
'x,y,z'
'-x,-y,-z'
'-x,y+1/2,-z'
'x,-y+1/2,z'
loop_
_atom_site_label
_atom_site_fract_x
_atom_site_fract_y
_atom_site_fract_z
_atom_site_occupancy
Tl1 0.225 0.250 0.248 1
Sn1 0.324 0.750 0.891 1
Ge1 0.099 0.250 0.620 1
Te1 0.069 0.250 0.885 1
Te2 0.210 0.750 0.536 1
Te3 0.479 0.750 0.192 1
```

# 6
A geometry-optimized Hf2ZrAgGe structure. Source: Alexandria, functional PBE-GGA.

- DFT formation energy: 0.482 eV/atom
- Uncorrected energy: -6.703 eV/atom
- Volume: 23.72 A^3/atom

```
data_Hf2ZrAgGe
_cell_length_a 5.024
_cell_length_b 5.024
_cell_length_c 4.698
_cell_angle_alpha 90.00
_cell_angle_beta 90.00
_cell_angle_gamma 90.00
_symmetry_space_group_name_H-M 'P 4/m m m'
_symmetry_Int_Tables_number 123
_symmetry_space_group_name_Hall '-P 4 2'
loop_
_atom_site_label
_atom_site_fract_x
_atom_site_fract_y
_atom_site_fract_z
_atom_site_occupancy
Hf1 0.000 0.500 0.000 1
Zr1 0.000 0.000 0.500 1
Ag1 0.500 0.500 0.500 1
Ge1 0.500 0.500 0.000 1
```

# 7
A geometry-optimized BaBeCl structure. Source: Alexandria, functional PBE-GGA.

- Uncorrected formation energy: -0.803 eV/atom
- E above lowest polymorph: 0.081 eV/atom
- Uncorrected energy: -3.301 eV/atom
- Volume: 28.43 A^3/atom

```
data_BaBeCl
_cell_length_a 4.296
_cell_length_b 6.390
_cell_length_c 6.495
_cell_angle_alpha 86.72
_cell_angle_beta 74.56
_cell_angle_gamma 83.28
_symmetry_space_group_name_H-M 'P 1'
_symmetry_Int_Tables_number 1
loop_
_symmetry_equiv_pos_as_xyz
'x,y,z'
loop_
_atom_site_label
_atom_site_fract_x
_atom_site_fract_y
_atom_site_fract_z
_atom_site_occupancy
Ba1 0.000 0.000 0.000 1
Ba2 0.302 0.490 0.458 1
Be1 0.395 0.011 0.471 1
Be2 0.870 0.039 0.514 1
Cl1 0.636 0.760 0.708 1
Cl2 0.984 0.485 0.082 1
```

# 8
A geometry-optimized GeSbI2 structure. Source: Alexandria, functional PBE-GGA.

- Uncorrected formation energy: 0.353 eV/atom
- E above lowest polymorph: 0.126 eV/atom
- Uncorrected energy: -2.607 eV/atom
- Volume: 33.04 A^3/atom

```
data_GeSbI2
_cell_length_a 8.554
_cell_length_b 8.554
_cell_length_c 7.225
_cell_angle_alpha 90.00
_cell_angle_beta 90.00
_cell_angle_gamma 90.00
_symmetry_space_group_name_H-M 'I -4 2 d'
_symmetry_Int_Tables_number 122
_symmetry_space_group_name_Hall 'I -4 2bw'
loop_
_atom_site_label
_atom_site_fract_x
_atom_site_fract_y
_atom_site_fract_z
_atom_site_occupancy
Ge1 0.000 0.000 0.000 1
Sb1 0.000 0.000 0.500 1
I1 0.230 0.250 0.125 1
```

# 9
A geometry-optimized Ac2La3Tb4 structure. Source: Alexandria, functional PBE-GGA.

- E above lowest polymorph: 0.027 eV/atom
- DFT formation energy: 0.114 eV/atom
- Uncorrected energy: -4.500 eV/atom
- Volume: 37.74 A^3/atom

```
data_Ac2La3Tb4
_cell_length_a 7.326
_cell_length_b 15.975
_cell_length_c 5.804
_cell_angle_alpha 90.00
_cell_angle_beta 90.00
_cell_angle_gamma 90.00
_symmetry_space_group_name_H-M 'P n n m'
_symmetry_Int_Tables_number 58
loop_
_symmetry_equiv_pos_as_xyz
'x,y,z'
'-x,-y,-z'
'-x,-y,z'
'x,y,-z'
'x+1/2,-y+1/2,-z+1/2'
'-x+1/2,y+1/2,z+1/2'
'-x+1/2,y+1/2,-z+1/2'
'x+1/2,-y+1/2,z+1/2'
loop_
_atom_site_label
_atom_site_fract_x
_atom_site_fract_y
_atom_site_fract_z
_atom_site_occupancy
Ac1 0.166 0.095 0.000 1
La1 0.000 0.500 0.000 1
La2 0.103 0.837 0.500 1
Tb1 0.090 0.707 0.000 1
Tb2 0.136 0.378 0.500 1
```

# 10
A geometry-optimized Nb3VW2 structure. Source: Alexandria, functional PBE-GGA.

- DFT formation energy: 0.196 eV/atom
- Uncorrected energy: -10.676 eV/atom
- Volume: 17.62 A^3/atom

```
data_Nb3VW2
_cell_length_a 13.634
_cell_length_b 4.469
_cell_length_c 7.001
_cell_angle_alpha 90.00
_cell_angle_beta 97.52
_cell_angle_gamma 90.00
_symmetry_space_group_name_H-M 'C 1 2/m 1'
_symmetry_Int_Tables_number 12
loop_
_symmetry_equiv_pos_as_xyz
'x,y,z'
'-x,-y,-z'
'-x,y,-z'
'x,-y,z'
'x+1/2,y+1/2,z'
'-x+1/2,-y+1/2,-z'
'-x+1/2,y+1/2,-z'
'x+1/2,-y+1/2,z'
loop_
_atom_site_label
_atom_site_fract_x
_atom_site_fract_y
_atom_site_fract_z
_atom_site_occupancy
Nb1 0.071 0.000 0.363 1
Nb2 0.111 0.500 0.066 1
Nb3 0.193 0.500 0.462 1
V1 0.155 0.000 0.781 1
W1 0.043 0.500 0.686 1
W2 0.234 0.000 0.150 1
```

# 11
A geometry-optimized PmGa2Pb structure. Source: Alexandria, functional PBE-GGA.

- E above lowest polymorph: 0.195 eV/atom
- DFT formation energy: -0.223 eV/atom
- Uncorrected energy: -3.851 eV/atom
- Volume: 25.24 A^3/atom

```
data_PmGa2Pb
_cell_length_a 4.9290
_cell_length_b 4.9290
_cell_length_c 14.3946
_cell_angle_alpha 90.00
_cell_angle_beta 90.00
_cell_angle_gamma 120.00
_symmetry_space_group_name_H-M 'R -3 m'
_symmetry_Int_Tables_number 166
_symmetry_space_group_name_Hall '-R 3 2"'
loop_
_atom_site_label
_atom_site_fract_x
_atom_site_fract_y
_atom_site_fract_z
_atom_site_occupancy
Pm1 0.0000 0.0000 0.0000 1
Ga1 0.0000 0.0000 0.2392 1
Pb1 0.0000 0.0000 0.5000 1
```

| no. | D(E_F) (states/eV/atom) |
| --- | --- |
| 1 | 0.000 |
| 2 | 1.863 |
| 3 | 0.284 |
| 4 | 0.372 |
| 5 | 0.361 |
| 6 | 1.041 |
| 7 | 0.016 |
| 8 | 0.689 |
| 9 | 1.481 |
| 10 | 1.018 |
| 11 | 0.511 |